Record 1
CsK2LiTe PBE optimized geometry; raw formation energy = -0.437 eV per atom; spin magnetization = 0.000 Bohr magnetons per cell; SG = P4/mmm
1.0
7.112 0.000 0.000
0.000 7.112 0.000
0.000 0.000 5.507
Cs K Li Te
1 2 1 1
Cartesian
0.000 0.000 0.000
0.000 3.556 2.754
3.556 0.000 2.754
3.556 3.556 0.000
3.556 3.556 2.754

=====

Record 2
Cs2KLiTe2 PBE optimized geometry; raw formation energy = -1.021 eV per atom; spin magnetization = 0.000 Bohr magnetons per cell; SG = Ibam
1.0
-4.053 8.364 3.788
4.053 -8.364 3.788
4.053 8.364 -3.788
Cs K Li Te
4 2 2 4
Cartesian
1.851 2.857 0.000
1.851 -2.857 3.788
2.202 11.222 0.000
2.202 5.507 3.788
4.053 0.000 1.894
0.000 8.364 1.894
0.000 0.000 1.894
0.000 0.000 5.682
6.416 1.615 0.000
2.363 6.749 0.000
1.690 1.615 3.788
-2.363 6.749 3.788

=====

Record 3
Cs2KLiTe PBE optimized geometry; raw formation energy = -0.491 eV per atom; spin magnetization = 0.000 Bohr magnetons per cell; SG = P4/mmm
1.0
7.804 0.000 0.000
0.000 7.804 0.000
0.000 0.000 5.300
Cs K Li Te
2 1 1 1
Cartesian
0.000 3.902 0.000
3.902 0.000 0.000
0.000 0.000 2.650
3.902 3.902 2.650
3.902 3.902 0.000

=====

Record 4
CsKLiTe2 PBE optimized geometry; raw formation energy = 0.106 eV per atom; spin magnetization = 0.001 Bohr magnetons per cell; SG = P4/mmm
1.0
6.817 0.000 0.000
0.000 6.817 0.000
0.000 0.000 6.179
Cs K Li Te
1 1 1 2
Cartesian
0.000 0.000 0.000
0.000 0.000 3.089
3.408 3.408 3.089
0.000 3.408 0.000
3.408 0.000 0.000